An optimized crystal structure of Ca3Nd3ErS8, computed with PBE-GGA.

Computed properties:
**Energy relative to the elements, uncorrected**: -2.0789 eV per atom
**Space group**: No. 166
**Calculated total energy**: -5.9383 eV per atom
**Magnetization**: 0.0 μB/cell

a = 8.0643 Å, b = 8.0646 Å, c = 8.0934 Å
α = 119.88°, β = 90.00°, γ = 120.00°
Atoms (fractional coordinates):
1 Ca 0.0000 0.0000 0.0000
2 Ca 0.0000 0.5000 0.0000
3 Ca 0.5000 0.5000 0.0000
4 Nd 0.5000 0.0000 0.5000
5 Nd 0.5000 0.5000 0.5000
6 Nd 0.0000 0.5000 0.5000
7 Er 0.0000 0.0000 0.5000
8 S 0.2481 0.4962 0.2443
9 S 0.7519 0.5038 0.7557
10 S 0.7603 0.5206 0.2593
11 S 0.2397 0.4794 0.7407
12 S 0.7603 0.9990 0.2593
13 S 0.2397 0.0010 0.7407
14 S 0.2386 0.9990 0.2593
15 S 0.7614 0.0010 0.7407

An optimized crystal structure of CaNd4Er3S8, computed with PBE-GGA.

Computed properties:
**Energy relative to the elements, uncorrected**: -2.0080 eV per atom
**Space group**: No. 166
**Calculated total energy**: -6.2443 eV per atom
**Magnetization**: 0.0 μB/cell

a = 7.9057 Å, b = 8.0374 Å, c = 7.9064 Å
α = 119.46°, β = 120.00°, γ = 90.00°
Atoms (fractional coordinates):
1 Ca 0.0000 0.5000 0.0000
2 Nd 0.5000 0.0000 0.0000
3 Nd 0.5000 0.0000 0.5000
4 Nd 0.0000 0.0000 0.0000
5 Nd 0.0000 0.0000 0.5000
6 Er 0.5000 0.5000 0.0000
7 Er 0.5000 0.5000 0.5000
8 Er 0.0000 0.5000 0.5000
9 S 0.2458 0.7324 0.9865
10 S 0.2458 0.7323 0.4916
11 S 0.2566 0.2699 0.5133
12 S 0.7407 0.7324 0.9865
13 S 0.2593 0.2676 0.0135
14 S 0.7434 0.7301 0.4867
15 S 0.7542 0.2677 0.5084
16 S 0.7542 0.2676 0.0135